MnGaRu2C | GGA-PBE | optimized geometry

The structure belongs to space group P4/mmm (No. 123); the cell edges are 4.059, 4.059 and 3.813 Å and the angles 90.00°, 90.00° and 90.00°. The asymmetric unit holds Mn at (0.000, 0.000, 0.000), Ga at (0.500, 0.500, 0.000), Ru at (0.000, 0.500, 0.500) and C at (0.000, 0.000, 0.500).

For the total energy, the calculation gives -40.2 eV per formula unit. The calculation puts the formation energy at -0.04 eV per atom.